# PBE-GGA U3H2O10, optimized geometry
data_U3H2O10
_symmetry_space_group_name_H-M 'P -1'
_symmetry_Int_Tables_number 2
_cell_length_a 5.541
_cell_length_b 5.929
_cell_length_c 7.527
_cell_angle_alpha 74.35
_cell_angle_beta 72.28
_cell_angle_gamma 73.16
loop_
_symmetry_equiv_pos_as_xyz
'x,y,z'
'-x,-y,-z'
loop_
_atom_site_label
_atom_site_type_symbol
_atom_site_fract_x
_atom_site_fract_y
_atom_site_fract_z
U1 U 0.000 0.000 0.000
U2 U 0.451 0.562 0.249
H1 H 0.106 0.684 0.594
O1 O 0.105 0.925 0.229
O2 O 0.213 0.374 0.338
O3 O 0.298 0.669 0.550
O4 O 0.302 0.688 0.957
O5 O 0.306 0.240 0.854
# Excess energy over the best structure of this formula in the dataset (meV/atom): 0


# PBE-GGA ZrSbRu2, optimized geometry
data_ZrSbRu2
_symmetry_space_group_name_H-M 'I -4 m 2'
_symmetry_Int_Tables_number 119
_symmetry_space_group_name_Hall 'I -4 -2'
_cell_length_a 3.903
_cell_length_b 3.903
_cell_length_c 9.051
_cell_angle_alpha 90.00
_cell_angle_beta 90.00
_cell_angle_gamma 90.00
loop_
_atom_site_label
_atom_site_type_symbol
_atom_site_fract_x
_atom_site_fract_y
_atom_site_fract_z
Zr1 Zr 0.000 0.000 0.000
Sb1 Sb 0.000 0.500 0.750
Ru1 Ru 0.000 0.000 0.500
Ru2 Ru 0.000 0.500 0.250
# Formation energy (no corrections) (eV/atom): -0.312


# PBE-GGA ZrIn2Fe, optimized geometry
data_ZrIn2Fe
_symmetry_space_group_name_H-M 'R 3 m'
_symmetry_Int_Tables_number 160
_symmetry_space_group_name_Hall 'R 3 -2"'
_cell_length_a 3.2687
_cell_length_b 3.2687
_cell_length_c 27.5825
_cell_angle_alpha 90.00
_cell_angle_beta 90.00
_cell_angle_gamma 120.00
loop_
_atom_site_label
_atom_site_type_symbol
_atom_site_fract_x
_atom_site_fract_y
_atom_site_fract_z
Zr1 Zr 0.0000 0.0000 0.0000
In1 In 0.0000 0.0000 0.5284
In2 In 0.0000 0.0000 0.7633
Fe1 Fe 0.0000 0.0000 0.2704
# DFT formation energy (meV/atom): 156


# PBE-GGA Li2Mg3Cd8, optimized geometry
data_Li2Mg3Cd8
_symmetry_space_group_name_H-M 'R -3 m'
_symmetry_Int_Tables_number 166
_symmetry_space_group_name_Hall '-R 3 2"'
_cell_length_a 5.6733
_cell_length_b 5.6733
_cell_length_c 32.0643
_cell_angle_alpha 90.00
_cell_angle_beta 90.00
_cell_angle_gamma 120.00
loop_
_atom_site_label
_atom_site_type_symbol
_atom_site_fract_x
_atom_site_fract_y
_atom_site_fract_z
Li1 Li 0.0000 0.0000 0.1362
Mg1 Mg 0.0000 0.0000 0.3143
Mg2 Mg 0.0000 0.0000 0.5000
Cd1 Cd 0.0000 0.0000 0.2185
Cd2 Cd 0.0008 0.5004 0.7277
# Excess energy over the best structure of this formula in the dataset (meV/atom): 40
# DFT formation energy (meV/atom): -14


# PBE-GGA LaCdNiRh, optimized geometry
data_LaCdNiRh
_symmetry_space_group_name_H-M 'F -4 3 m'
_symmetry_Int_Tables_number 216
_symmetry_space_group_name_Hall 'F -4 2 3'
_cell_length_a 6.789
_cell_length_b 6.789
_cell_length_c 6.789
_cell_angle_alpha 90.00
_cell_angle_beta 90.00
_cell_angle_gamma 90.00
loop_
_atom_site_label
_atom_site_type_symbol
_atom_site_fract_x
_atom_site_fract_y
_atom_site_fract_z
La1 La 0.000 0.000 0.000
Cd1 Cd 0.000 0.000 0.500
Ni1 Ni 0.250 0.250 0.750
Rh1 Rh 0.250 0.250 0.250
# DFT formation energy (meV/atom): -274


# PBE-GGA CuPtF2, optimized geometry
data_CuPtF2
_symmetry_space_group_name_H-M 'R -3 m'
_symmetry_Int_Tables_number 166
_symmetry_space_group_name_Hall '-R 3 2"'
_cell_length_a 2.8145
_cell_length_b 2.8145
_cell_length_c 21.5745
_cell_angle_alpha 90.00
_cell_angle_beta 90.00
_cell_angle_gamma 120.00
loop_
_atom_site_label
_atom_site_type_symbol
_atom_site_fract_x
_atom_site_fract_y
_atom_site_fract_z
Cu1 Cu 0.0000 0.0000 0.0000
Pt1 Pt 0.0000 0.0000 0.5000
F1 F 0.0000 0.0000 0.4037
# Excess energy over the best structure of this formula in the dataset (meV/atom): 0
# Formation energy (no corrections) (eV/atom): -0.771


# PBE-GGA LiCeGa5, optimized geometry
data_LiCeGa5
_symmetry_space_group_name_H-M 'P 4/m m m'
_symmetry_Int_Tables_number 123
_symmetry_space_group_name_Hall '-P 4 2'
_cell_length_a 4.411
_cell_length_b 4.411
_cell_length_c 6.945
_cell_angle_alpha 90.00
_cell_angle_beta 90.00
_cell_angle_gamma 90.00
loop_
_atom_site_label
_atom_site_type_symbol
_atom_site_fract_x
_atom_site_fract_y
_atom_site_fract_z
Li1 Li 0.000 0.000 0.000
Ce1 Ce 0.000 0.000 0.500
Ga1 Ga 0.000 0.500 0.197
Ga2 Ga 0.500 0.500 0.500
# DFT formation energy (meV/atom): -329


# PBE-GGA Pu5Hg2Rh2, optimized geometry
data_Pu5Hg2Rh2
_symmetry_space_group_name_H-M 'C m c e'
_symmetry_Int_Tables_number 64
_symmetry_space_group_name_Hall '-C 2ac 2'
_cell_length_a 15.977
_cell_length_b 7.593
_cell_length_c 7.646
_cell_angle_alpha 90.00
_cell_angle_beta 90.00
_cell_angle_gamma 90.00
loop_
_atom_site_label
_atom_site_type_symbol
_atom_site_fract_x
_atom_site_fract_y
_atom_site_fract_z
Pu1 Pu 0.000 0.000 0.000
Pu2 Pu 0.118 0.164 0.336
Hg1 Hg 0.214 0.000 0.000
Rh1 Rh 0.000 0.138 0.637
# DFT formation energy (meV/atom): -213


# PBE-GGA SbOs2, optimized geometry
data_SbOs2
_symmetry_space_group_name_H-M 'P 4/m m m'
_symmetry_Int_Tables_number 123
_symmetry_space_group_name_Hall '-P 4 2'
_cell_length_a 3.691
_cell_length_b 3.691
_cell_length_c 4.277
_cell_angle_alpha 90.00
_cell_angle_beta 90.00
_cell_angle_gamma 90.00
loop_
_atom_site_label
_atom_site_type_symbol
_atom_site_fract_x
_atom_site_fract_y
_atom_site_fract_z
Sb1 Sb 0.000 0.000 0.000
Os1 Os 0.000 0.500 0.500
# Formation energy (no corrections) (eV/atom): 0.994


# PBE-GGA CaTb2Pm6Dy, optimized geometry
data_CaTb2Pm6Dy
_symmetry_space_group_name_H-M 'C 1 2/c 1'
_symmetry_Int_Tables_number 15
_cell_length_a 9.169
_cell_length_b 15.460
_cell_length_c 9.881
_cell_angle_alpha 90.00
_cell_angle_beta 98.83
_cell_angle_gamma 90.00
loop_
_symmetry_equiv_pos_as_xyz
'x,y,z'
'-x,-y,-z'
'-x,y,-z+1/2'
'x,-y,z+1/2'
'x+1/2,y+1/2,z'
'-x+1/2,-y+1/2,-z'
'-x+1/2,y+1/2,-z+1/2'
'x+1/2,-y+1/2,z+1/2'
loop_
_atom_site_label
_atom_site_type_symbol
_atom_site_fract_x
_atom_site_fract_y
_atom_site_fract_z
Ca1 Ca 0.000 0.099 0.250
Tb1 Tb 0.249 0.450 0.043
Pm1 Pm 0.061 0.324 0.448
Pm2 Pm 0.107 0.106 0.624
Pm3 Pm 0.200 0.271 0.823
Dy1 Dy 0.000 0.475 0.750
# DFT formation energy (meV/atom): 135


# PBE-GGA Er2AlGa, optimized geometry
data_Er2AlGa
_symmetry_space_group_name_H-M 'P 4/m m m'
_symmetry_Int_Tables_number 123
_symmetry_space_group_name_Hall '-P 4 2'
_cell_length_a 3.545
_cell_length_b 3.545
_cell_length_c 7.152
_cell_angle_alpha 90.00
_cell_angle_beta 90.00
_cell_angle_gamma 90.00
loop_
_atom_site_label
_atom_site_type_symbol
_atom_site_fract_x
_atom_site_fract_y
_atom_site_fract_z
Er1 Er 0.000 0.000 0.247
Al1 Al 0.500 0.500 0.500
Ga1 Ga 0.500 0.500 0.000
# DFT formation energy (meV/atom): -481


# PBE-GGA NaSrAl4, optimized geometry
data_NaSrAl4
_symmetry_space_group_name_H-M 'F -4 3 m'
_symmetry_Int_Tables_number 216
_symmetry_space_group_name_Hall 'F -4 2 3'
_cell_length_a 8.159
_cell_length_b 8.159
_cell_length_c 8.159
_cell_angle_alpha 90.00
_cell_angle_beta 90.00
_cell_angle_gamma 90.00
loop_
_atom_site_label
_atom_site_type_symbol
_atom_site_fract_x
_atom_site_fract_y
_atom_site_fract_z
Na1 Na 0.000 0.000 0.000
Sr1 Sr 0.250 0.250 0.250
Al1 Al 0.125 0.125 0.625
# DFT formation energy (meV/atom): -120


Ordered DOS at the Fermi energy results: 0.000 2.665 3.729 4.358 3.491 1.077 6.102 43.641 3.510 15.016 1.781 0.816; unit states/eV/f.u..